Compound: TiPb4S6
Source: the Alexandria database
Functional: GGA-PBE
Structure: relaxed

a b c (Å): 7.640 8.512 12.249
angles (deg): 76.98 71.83 63.34
Atoms (fractional coordinates):
Ti1 0.672 0.775 0.397
Ti2 0.155 0.275 0.897
Pb1 0.305 0.953 0.653
Pb2 0.089 0.453 0.153
Pb3 0.720 0.245 0.470
Pb4 0.565 0.745 0.970
Pb5 0.982 0.650 0.659
Pb6 0.709 0.150 0.159
Pb7 0.653 0.274 0.802
Pb8 0.271 0.774 0.302
S1 0.438 0.518 0.137
S2 0.908 0.018 0.637
S3 0.441 0.667 0.503
S4 0.390 0.167 0.003
S5 0.517 0.067 0.432
S6 0.983 0.567 0.932
S7 0.974 0.110 0.930
S8 0.986 0.610 0.430
S9 0.987 0.148 0.261
S10 0.604 0.648 0.761
S11 0.319 0.279 0.709
S12 0.692 0.779 0.209

Magnetization (μB/f.u.): 0.00
Final energy (eV per atom): -4.975
E_form (uncorrected) (eV per atom): -0.6579
SG: Cc, No. 9
Crystal system: monoclinic
Theoretical density (kg/m³): 5276